4
Lattice="0.0000 3.1620 3.1620 3.1620 0.0000 3.1620 3.1620 3.1620 0.0000" Properties=species:S:1:pos:R:3 comment="CdBiC2 PBE relaxed" spacegroup=Fm-3m formation_enthalpy_0k_ev_per_atom=2.25 dos_at_fermi_per_ev_fu=2.53 polymorph_energy_mev_per_atom=623 pbc="T T T"
Cd 0.0000 0.0000 0.0000
Bi 3.1620 3.1620 3.1620
C 1.5810 1.5810 1.5810
C 4.7430 4.7430 4.7430

=====

4
Lattice="4.7595 -2.5561 0.0000 4.7595 2.5561 0.0000 -2.7049 0.0000 5.7869" Properties=species:S:1:pos:R:3 comment="BaCdPb2 PBE relaxed" spacegroup=Cm formation_enthalpy_0k_ev_per_atom=-0.28 dos_at_fermi_per_ev_fu=1.35 pbc="T T T"
Ba 0.0000 0.0000 0.0000
Cd 6.4437 0.0000 1.8867
Pb 0.3416 0.0000 3.9486
Pb 3.3942 0.0000 2.6829

=====

6
Lattice="2.8539 0.0000 0.0000 0.0000 2.8539 0.0000 0.0000 0.0000 8.7142" Properties=species:S:1:pos:R:3 comment="Al2VCo3 PBE relaxed" spacegroup=P4/mmm formation_enthalpy_0k_ev_per_atom=-0.44 dos_at_fermi_per_ev_fu=4.20 pbc="T T T"
Al 0.0000 0.0000 1.4315
Al 0.0000 0.0000 7.2828
V 0.0000 0.0000 4.3571
Co 1.4269 1.4269 0.0000
Co 1.4269 1.4269 2.9307
Co 1.4269 1.4269 5.7835

=====

4
Lattice="0.0000 3.4902 3.4902 3.4902 0.0000 3.4902 3.4902 3.4902 0.0000" Properties=species:S:1:pos:R:3 comment="Zr2TlGa PBE relaxed" spacegroup=Fm-3m formation_enthalpy_0k_ev_per_atom=-0.12 dos_at_fermi_per_ev_fu=8.23 polymorph_energy_mev_per_atom=207 pbc="T T T"
Zr 1.7451 1.7451 1.7451
Zr 5.2352 5.2352 5.2352
Tl 0.0000 0.0000 0.0000
Ga 3.4902 3.4902 3.4902